The following is a GGA-PBE calculation of crystalline TbHo2B6 at its relaxed geometry, from the Alexandria database.

The formation energy is -575 meV per atom. The total energy comes out at -59.02 eV/cell.

The space group is P6/mmm (No. 191) and the conventional cell measures 5.6901, 5.6901 and 3.8725 Å, with angles of 90.00, 90.00 and 120.00 degrees. The distinct sites, in fractional coordinates, are Tb at (0.0000, 0.0000, 0.0000), Ho at (0.3333, 0.6667, 0.0000) and B at (0.0000, 0.3346, 0.5000).